A plane-wave DFT calculation with PBE was carried out for Ba4Au3O after structural relaxation.

abc: 6.9005 4.4074 8.6113
angles: 90.00 95.22 90.00
With the nearest neighbours (Å) after each atom.
Fractional coordinates of all 8 atoms:
Au (0.8284, 0.5000, 0.0654)  5 Ba 3.25-3.40
Au (0.3409, 0.0000, 0.4512)  2 Au 2.94
Au (0.6115, 0.5000, 0.5355)  2 Au 2.94, 2 Ba 3.28
Ba (0.3194, 0.5000, 0.1488)  2 O 3.09, 3 Au 3.40
Ba (0.8486, 0.0000, 0.3441)  5 Au 3.25-3.44
Ba (0.1434, 0.5000, 0.7351)  2 O 2.73
Ba (0.6246, 0.0000, 0.8238)  1 O 2.49
O (0.2832, 0.0000, 0.8961)  3 Ba 2.49-2.73

Values from the calculation:
Calculated volume, Å³/atom: 32.60
E_tot, Ry per atom: -0.28163



A plane-wave DFT calculation with PBE was carried out for Ba2AuO after structural relaxation.

abc: 4.1578 7.8613 6.9526
angles: 90.00 90.00 90.00
With the nearest neighbours (Å) after each atom.
Fractional coordinates of all 8 atoms:
Au (0.0000, 0.0006, 0.4998)  6 Ba 3.27-3.40, 2 Au 3.48
Au (0.0000, 0.9994, 0.9998)  6 Ba 3.27-3.40, 2 Au 3.48
Ba (0.5000, 0.2328, 0.2502)  2 O 2.71-2.74
Ba (0.0000, 0.6286, 0.2514)  4 O 2.87-2.91
Ba (0.5000, 0.7672, 0.7502)  2 O 2.71-2.74
Ba (0.0000, 0.3714, 0.7514)  4 O 2.87-2.91
O (0.5000, 0.5036, 0.4986)  6 Ba 2.71-2.91
O (0.5000, 0.4964, 0.9986)  6 Ba 2.71-2.91

Values from the calculation:
Calculated volume, Å³/atom: 28.41
E_tot, Ry per atom: -0.32832